(1)
DFT (PBE-GGA) results for a relaxed Rb2CuICl2 crystal.

Output
energy relative to the elements, uncorrected = -1.2661 eV per atom
space group = Cmc2_1 (36)
total magnetization = 0.1 Bohr magnetons per cell
E = -3.145 eV/atom

Cell lengths 8.1300, 8.1300, 8.5001 Å; angles 90.00, 90.00, 56.61 degrees
Closest atoms and distances in Å follow each position.
Fractional coordinates of all 12 atoms:
Rb 0.0864 0.6064 0.5000  3 Cl 3.23
Rb 0.3936 0.9136 0.5000  3 Cl 3.23
Rb 0.6064 0.0864 0.0000  3 Cl 3.23
Rb 0.9136 0.3936 0.0000  3 Cl 3.23
Cu 0.2919 0.7081 0.9025  2 Cl 2.31
Cu 0.7081 0.2919 0.4025  2 Cl 2.31
I 0.4321 0.5679 0.1968  2 Cu 2.72-2.75
I 0.5679 0.4321 0.6968  2 Cu 2.72-2.75
Cl 0.0116 0.7045 0.8717  1 Cu 2.31
Cl 0.2955 0.9884 0.8717  1 Cu 2.31
Cl 0.7045 0.0116 0.3717  1 Cu 2.31
Cl 0.9884 0.2955 0.3717  1 Cu 2.31

---

(2)
DFT (PBE-GGA) results for a relaxed Ho7Ga2Te2 crystal.

Output
energy relative to the elements, uncorrected = -0.7254 eV per atom
space group = Imm2 (44)
energy above the most stable polymorph in this dataset = 0.0000 eV/atom
total magnetization = 0.0 Bohr magnetons per cell
E = -4.760 eV/atom

Cell lengths 9.0876, 9.0876, 9.0876 Å; angles 152.84, 69.80, 117.10 degrees
Closest atoms and distances in Å follow each position.
Fractional coordinates of all 11 atoms:
Ho 0.0000 0.0000 0.0000  3 Te 3.27-3.28, 2 Ga 3.55, 4 Ho 3.63
Ho 0.2697 0.4009 0.8688  2 Ga 2.95, 3 Te 3.10-3.18
Ho 0.2955 0.6119 0.6836  3 Ga 2.92-3.15, 1 Te 3.09
Ho 0.5321 0.4009 0.1312  2 Ga 2.95, 3 Te 3.10-3.18
Ho 0.6034 0.2458 0.3576  2 Ga 2.99, 2 Te 3.13
Ho 0.8882 0.2458 0.6424  2 Ga 2.99, 2 Te 3.13
Ho 0.9282 0.6119 0.3164  3 Ga 2.92-3.15, 1 Te 3.09
Ga 0.1487 0.9166 0.2321  7 Ho 2.92-3.15
Ga 0.6845 0.9166 0.7679  7 Ho 2.92-3.15
Te 0.2620 0.7620 0.5000  8 Ho 3.09-3.27
Te 0.6542 0.6542 0.0000  7 Ho 3.10-3.28

---

(3)
DFT (PBE-GGA) results for a relaxed Na3Ti3NiSe8 crystal.

Output
energy relative to the elements, uncorrected = -0.9967 eV per atom
space group = R-3m (166)
total magnetization = 2.2 Bohr magnetons per cell
E = -5.083 eV/atom

Cell lengths 8.2969, 8.2969, 8.2969 Å; angles 52.74, 52.74, 52.74 degrees
Closest atoms and distances in Å follow each position.
Fractional coordinates of all 15 atoms:
Na 0.0000 0.5000 0.5000  6 Se 2.95-3.00
Na 0.5000 0.0000 0.5000  6 Se 2.95-3.00
Na 0.5000 0.5000 0.0000  6 Se 2.95-3.00
Ti 0.0000 0.0000 0.5000  6 Se 2.58-2.61
Ti 0.0000 0.5000 0.0000  6 Se 2.58-2.61
Ti 0.5000 0.0000 0.0000  6 Se 2.58-2.61
Ni 0.5000 0.5000 0.5000  6 Se 2.53
Se 0.2376 0.2376 0.2376  3 Ti 2.61
Se 0.2402 0.7302 0.7302  1 Ni 2.53, 2 Ti 2.58
Se 0.2698 0.2698 0.7598  1 Ni 2.53, 2 Ti 2.58
Se 0.2698 0.7598 0.2698  1 Ni 2.53, 2 Ti 2.58
Se 0.7302 0.2402 0.7302  1 Ni 2.53, 2 Ti 2.58
Se 0.7302 0.7302 0.2402  1 Ni 2.53, 2 Ti 2.58
Se 0.7598 0.2698 0.2698  1 Ni 2.53, 2 Ti 2.58
Se 0.7624 0.7624 0.7624  3 Ti 2.61

---

(4)
DFT (PBE-GGA) results for a relaxed Ho2Ni2Pt crystal.

Output
formation energy = -723 meV/atom
space group = Immm (71)
energy above the most stable polymorph in this dataset = 0.0086 eV/atom
total magnetization = 0.0 Bohr magnetons per cell
E = -6.075 eV/atom

Cell lengths 5.2454, 5.2454, 5.2454 Å; angles 131.41, 119.37, 81.27 degrees
Closest atoms and distances in Å follow each position.
Fractional coordinates of all 5 atoms:
Ho 0.2062 0.2062 0.0000  6 Ni 2.76-2.96
Ho 0.7938 0.7938 0.0000  6 Ni 2.76-2.96
Ni 0.2227 0.5000 0.7227  1 Ni 2.36, 2 Pt 2.61
Ni 0.7773 0.5000 0.2773  1 Ni 2.36, 2 Pt 2.61
Pt 0.5000 0.0000 0.5000  4 Ni 2.61

---

(5)
DFT (PBE-GGA) results for a relaxed PmCdAu3 crystal.

Output
formation energy = -496 meV/atom
space group = P2_1/m (11)
energy above the most stable polymorph in this dataset = 0.0433 eV/atom
total magnetization = 0.0 Bohr magnetons per cell
E = -3.595 eV/atom

Cell lengths 5.6102, 6.7939, 6.0696 Å; angles 90.00, 101.76, 90.00 degrees
Closest atoms and distances in Å follow each position.
Fractional coordinates of all 10 atoms:
Pm 0.1529 0.2500 0.2530  8 Au 3.03-3.26
Pm 0.8471 0.7500 0.7470  8 Au 3.03-3.26
Cd 0.4194 0.7500 0.0832  5 Au 2.78-2.99
Cd 0.5806 0.2500 0.9168  5 Au 2.78-2.99
Au 0.0026 0.2500 0.7442  1 Cd 2.78, 4 Au 2.86-2.98, 1 Pm 3.03
Au 0.3221 0.5461 0.6376  4 Au 2.77-2.98, 2 Cd 2.83-2.99, 1 Pm 3.08
Au 0.3221 0.9539 0.6376  4 Au 2.77-2.98, 2 Cd 2.83-2.99, 1 Pm 3.08
Au 0.6779 0.0461 0.3624  4 Au 2.77-2.98, 2 Cd 2.83-2.99, 1 Pm 3.08
Au 0.6779 0.4539 0.3624  4 Au 2.77-2.98, 2 Cd 2.83-2.99, 1 Pm 3.08
Au 0.9974 0.7500 0.2558  1 Cd 2.78, 4 Au 2.86-2.98, 1 Pm 3.03

---

(6)
DFT (PBE-GGA) results for a relaxed Al2BCl crystal.

Output
energy relative to the elements, uncorrected = -0.1931 eV per atom
space group = I-42d (122)
energy above the most stable polymorph in this dataset = 0.0000 eV/atom
total magnetization = 0.0 Bohr magnetons per cell
E = -4.195 eV/atom

Cell lengths 6.4817, 6.4817, 6.4817 Å; angles 130.81, 130.81, 72.11 degrees
Closest atoms and distances in Å follow each position.
Fractional coordinates of all 8 atoms:
Al 0.0195 0.6250 0.8945  2 B 2.04
Al 0.3750 0.2695 0.3945  2 B 2.04
Al 0.7305 0.1250 0.1055  2 B 2.04
Al 0.8750 0.9805 0.6055  2 B 2.04
B 0.0000 0.0000 0.0000  4 Al 2.04
B 0.7500 0.2500 0.5000  4 Al 2.04
Cl 0.2500 0.7500 0.5000  4 Al 2.69
Cl 0.5000 0.5000 0.0000  4 Al 2.69

---

(7)
DFT (PBE-GGA) results for a relaxed Tb2Sm5Er2 crystal.

Output
formation energy = 175 meV/atom
space group = Ima2 (46)
energy above the most stable polymorph in this dataset = 0.1577 eV/atom
total magnetization = 0.0 Bohr magnetons per cell
E = -4.490 eV/atom

Cell lengths 10.3654, 10.3654, 10.3654 Å; angles 86.73, 103.55, 145.36 degrees
Closest atoms and distances in Å follow each position.
Fractional coordinates of all 18 atoms:
Tb 0.0000 0.0000 0.0000  2 Sm 3.25, 2 Er 3.44
Tb 0.0000 0.5000 0.5000  2 Sm 3.25, 2 Er 3.44
Tb 0.8175 0.6224 0.6952  5 Sm 3.32-3.63, 2 Er 3.46
Tb 0.9272 0.1224 0.3048  5 Sm 3.32-3.63, 2 Er 3.46
Sm 0.1158 0.5732 0.8301  5 Sm 3.20-3.57, 2 Tb 3.25-3.50, 2 Er 3.40-3.52
Sm 0.1158 0.7858 0.0427  5 Sm 3.20-3.57, 2 Tb 3.25-3.50, 2 Er 3.40-3.52
Sm 0.1657 0.0944 0.5713  3 Tb 3.32-3.63, 4 Sm 3.41-3.59, 2 Er 3.44
Sm 0.3909 0.1388 0.3480  5 Sm 3.34-3.57, 2 Er 3.51-3.58, 1 Tb 3.67
Sm 0.3909 0.5429 0.7521  5 Sm 3.34-3.57, 2 Er 3.51-3.58, 1 Tb 3.67
Sm 0.5230 0.5944 0.4287  3 Tb 3.32-3.63, 4 Sm 3.41-3.59, 2 Er 3.44
Sm 0.7431 0.0732 0.9573  5 Sm 3.20-3.57, 2 Tb 3.25-3.50, 2 Er 3.40-3.52
Sm 0.7431 0.2858 0.1699  5 Sm 3.20-3.57, 2 Tb 3.25-3.50, 2 Er 3.40-3.52
Sm 0.7908 0.0429 0.6520  5 Sm 3.34-3.57, 2 Er 3.51-3.58, 1 Tb 3.67
Sm 0.7908 0.6388 0.2479  5 Sm 3.34-3.57, 2 Er 3.51-3.58, 1 Tb 3.67
Er 0.3874 0.5717 0.0865  6 Sm 3.40-3.59, 2 Tb 3.44-3.46, 1 Er 3.46
Er 0.3874 0.8009 0.3157  6 Sm 3.40-3.59, 2 Tb 3.44-3.46, 1 Er 3.46
Er 0.4852 0.0717 0.6843  6 Sm 3.40-3.59, 2 Tb 3.44-3.46, 1 Er 3.46
Er 0.4852 0.3009 0.9135  6 Sm 3.40-3.59, 2 Tb 3.44-3.46, 1 Er 3.46

---

(8)
DFT (PBE-GGA) results for a relaxed MgPd3Se crystal.

Output
energy relative to the elements, uncorrected = -0.1285 eV per atom
space group = Pm-3m (221)
energy above the most stable polymorph in this dataset = 0.0000 eV/atom
total magnetization = 0.0 Bohr magnetons per cell
E = -4.260 eV/atom

Cell lengths 4.6912, 4.6912, 4.6912 Å; angles 90.00, 90.00, 90.00 degrees
Closest atoms and distances in Å follow each position.
Fractional coordinates of all 5 atoms:
Mg 0.0000 0.0000 0.0000  12 Pd 3.32
Pd 0.0000 0.5000 0.5000  2 Se 2.35
Pd 0.5000 0.0000 0.5000  2 Se 2.35
Pd 0.5000 0.5000 0.0000  2 Se 2.35
Se 0.5000 0.5000 0.5000  6 Pd 2.35

---

(9)
DFT (PBE-GGA) results for a relaxed Y2InSnTe crystal.

Output
energy relative to the elements, uncorrected = 0.0660 eV per atom
space group = P4/mmm (123)
total magnetization = 0.0 Bohr magnetons per cell
E = -4.496 eV/atom

Cell lengths 5.6483, 5.6483, 5.7875 Å; angles 90.00, 90.00, 90.00 degrees
Closest atoms and distances in Å follow each position.
Fractional coordinates of all 5 atoms:
Y 0.0000 0.5000 0.0000  2 Te 2.82
Y 0.5000 0.0000 0.0000  2 Te 2.82
In 0.0000 0.0000 0.5000  4 Sn 3.99, 8 Y 4.04
Sn 0.5000 0.5000 0.5000  2 Te 2.89
Te 0.5000 0.5000 0.0000  4 Y 2.82, 2 Sn 2.89

---

(10)
DFT (PBE-GGA) results for a relaxed KSrCa2Pd crystal.

Output
formation energy = -249 meV/atom
space group = P4/mmm (123)
energy above the most stable polymorph in this dataset = 0.0000 eV/atom
total magnetization = 0.0 Bohr magnetons per cell
E = -2.644 eV/atom

Cell lengths 5.8448, 5.8448, 6.0907 Å; angles 90.00, 90.00, 90.00 degrees
Closest atoms and distances in Å follow each position.
Fractional coordinates of all 5 atoms:
K 0.0000 0.0000 0.0000  4 Sr 4.13, 8 Ca 4.22
Sr 0.5000 0.5000 0.0000  2 Pd 3.05
Ca 0.0000 0.5000 0.5000  2 Pd 2.92
Ca 0.5000 0.0000 0.5000  2 Pd 2.92
Pd 0.5000 0.5000 0.5000  4 Ca 2.92, 2 Sr 3.05

---

(11)
DFT (PBE-GGA) results for a relaxed CdIn6Cl8 crystal.

Output
energy relative to the elements, uncorrected = -0.8621 eV per atom
space group = R-3 (148)
total magnetization = 0.0 Bohr magnetons per cell
E = -3.003 eV/atom

Cell lengths 8.2251, 8.2251, 8.2251 Å; angles 72.52, 72.52, 72.52 degrees
Closest atoms and distances in Å follow each position.
Fractional coordinates of all 15 atoms:
Cd 0.0000 0.0000 0.0000  6 Cl 2.67
In 0.0462 0.4781 0.7112  3 Cl 2.92-3.18
In 0.2888 0.9538 0.5219  3 Cl 2.92-3.18
In 0.4781 0.7112 0.0462  3 Cl 2.92-3.18
In 0.5219 0.2888 0.9538  3 Cl 2.92-3.18
In 0.7112 0.0462 0.4781  3 Cl 2.92-3.18
In 0.9538 0.5219 0.2888  3 Cl 2.92-3.18
Cl 0.0685 0.8618 0.3174  1 Cd 2.67, 1 In 2.98
Cl 0.1382 0.6826 0.9315  1 Cd 2.67, 1 In 2.98
Cl 0.3049 0.3049 0.3049  3 In 2.92
Cl 0.3174 0.0685 0.8618  1 Cd 2.67, 1 In 2.98
Cl 0.6826 0.9315 0.1382  1 Cd 2.67, 1 In 2.98
Cl 0.6951 0.6951 0.6951  3 In 2.92
Cl 0.8618 0.3174 0.0685  1 Cd 2.67, 1 In 2.98
Cl 0.9315 0.1382 0.6826  1 Cd 2.67, 1 In 2.98